(1)
This record from Alexandria via LeMat-Bulk describes Dy2ZnGa4Ni3 after structural relaxation. The functional is GGA-PBE.

The structure in CIF format:
```
data_Dy2ZnGa4Ni3
_chemical_formula_sum 'Dy2 Zn1 Ga4 Ni3'
_cell_length_a 4.033
_cell_length_b 4.033
_cell_length_c 10.355
_cell_angle_alpha 90.00
_cell_angle_beta 90.00
_cell_angle_gamma 90.00
_symmetry_space_group_name_H-M 'P 1'
_symmetry_Int_Tables_number 1
loop_
_symmetry_equiv_pos_as_xyz
'x,y,z'
loop_
_atom_site_label
_atom_site_fract_x
_atom_site_fract_y
_atom_site_fract_z
Dy1 0.000 0.500 0.240
Dy2 0.500 0.000 0.760
Zn1 0.000 0.000 0.500
Ga1 0.000 0.000 0.000
Ga2 0.000 0.500 0.641
Ga3 0.500 0.000 0.359
Ga4 0.500 0.500 0.000
Ni1 0.000 0.500 0.868
Ni2 0.500 0.000 0.132
Ni3 0.500 0.500 0.500
```

ΔH_f (0 K) (eV per atom): -0.5483
SG: P-4m2, No. 115
Calculated total energy (eV per atom): -4.541
Total magnetic moment (μB/f.u.): 0.000

=====

(2)
This record from Alexandria via LeMat-Bulk describes Dy2ZnGa2Ni5 after structural relaxation. The functional is GGA-PBE.

The structure in CIF format:
```
data_Dy2ZnGa2Ni5
_chemical_formula_sum 'Dy4 Zn2 Ga4 Ni10'
_cell_length_a 9.598
_cell_length_b 9.598
_cell_length_c 3.357
_cell_angle_alpha 90.00
_cell_angle_beta 90.00
_cell_angle_gamma 90.00
_symmetry_space_group_name_H-M 'P 1'
_symmetry_Int_Tables_number 1
loop_
_symmetry_equiv_pos_as_xyz
'x,y,z'
loop_
_atom_site_label
_atom_site_fract_x
_atom_site_fract_y
_atom_site_fract_z
Dy1 0.175 0.325 0.000
Dy2 0.325 0.825 0.000
Dy3 0.675 0.175 0.000
Dy4 0.825 0.675 0.000
Zn1 0.000 0.000 0.000
Zn2 0.500 0.500 0.000
Ga1 0.123 0.623 0.000
Ga2 0.377 0.123 0.000
Ga3 0.623 0.877 0.000
Ga4 0.877 0.377 0.000
Ni1 0.000 0.500 0.500
Ni2 0.054 0.799 0.500
Ni3 0.201 0.054 0.500
Ni4 0.299 0.554 0.500
Ni5 0.446 0.299 0.500
Ni6 0.500 0.000 0.500
Ni7 0.554 0.701 0.500
Ni8 0.701 0.446 0.500
Ni9 0.799 0.946 0.500
Ni10 0.946 0.201 0.500
```

ΔH_f (0 K) (eV per atom): -0.3232
SG: P4/mbm, No. 127
Calculated total energy (eV per atom): -4.867
Total magnetic moment (μB/f.u.): 0.000

=====

Q: What is the total magnetic moment in the first record?
A: 0.000 μB/f.u.